Record 1
DFT (GGA-PBE) results for crystalline ScPd4Pt3 at its relaxed geometry.

Properties
As for the theoretical density: 13.244 g/cm³. The formation energy is -0.27 eV/atom. The value obtained for the volume is 16.548 A^3/atom. The total moment comes out at 0.00 μB per cell.

a b c (Å): 7.129 7.129 7.129
angles (deg): 157.28 106.92 77.68
Element x y z (fractional)
Sc  0.000  0.000  0.000
Pd  0.145  0.873  0.273
Pd  0.400  0.127  0.273
Pd  0.600  0.873  0.727
Pd  0.855  0.127  0.727
Pt  0.202  0.702  0.500
Pt  0.500  0.500  0.000
Pt  0.798  0.298  0.500

Record 2
DFT (GGA-PBE) results for crystalline Nb6AlCo at its relaxed geometry.

Properties
As for the theoretical density: 7.819 g/cm³. The formation energy is -0.13 eV/atom. The value obtained for the volume is 17.078 A^3/atom. The total moment comes out at 0.56 μB per cell.

a b c (Å): 5.150 5.150 5.150
angles (deg): 89.98 89.98 89.98
Element x y z (fractional)
Nb  0.000  0.254  0.499
Nb  0.000  0.746  0.501
Nb  0.254  0.499  0.000
Nb  0.499  0.000  0.254
Nb  0.501  0.000  0.746
Nb  0.746  0.501  0.000
Al  0.000  0.000  0.000
Co  0.500  0.500  0.500

Record 3
DFT (GGA-PBE) results for crystalline Er2BeGa3Cu12 at its relaxed geometry.

Properties
As for the theoretical density: 7.915 g/cm³. The formation energy is 0.04 eV/atom. The value obtained for the volume is 15.329 A^3/atom. The total moment comes out at 0.00 μB per cell.

a b c (Å): 11.422 11.422 11.422
angles (deg): 27.27 27.27 27.27
Element x y z (fractional)
Er  0.143  0.143  0.143
Er  0.857  0.857  0.857
Be  0.500  0.500  0.500
Ga  0.000  0.500  0.500
Ga  0.500  0.000  0.500
Ga  0.500  0.500  0.000
Cu  0.097  0.097  0.632
Cu  0.097  0.632  0.097
Cu  0.123  0.610  0.610
Cu  0.368  0.903  0.903
Cu  0.390  0.390  0.877
Cu  0.390  0.877  0.390
Cu  0.610  0.123  0.610
Cu  0.610  0.610  0.123
Cu  0.632  0.097  0.097
Cu  0.877  0.390  0.390
Cu  0.903  0.368  0.903
Cu  0.903  0.903  0.368

Record 4
DFT (GGA-PBE) results for crystalline Te2PtRh4 at its relaxed geometry.

Properties
As for the theoretical density: 9.328 g/cm³. As for the formation energy (no corrections): 0.7373 eV/atom. The value obtained for the volume is 21.920 A^3/atom. The total moment comes out at 0.00 μB per cell.

a b c (Å): 7.499 7.499 7.499
angles (deg): 142.76 142.76 53.68
Element x y z (fractional)
Te  0.120  0.120  0.000
Te  0.880  0.880  0.000
Pt  0.500  0.500  0.000
Rh  0.000  0.500  0.500
Rh  0.303  0.303  0.000
Rh  0.500  0.000  0.500
Rh  0.697  0.697  0.000

Record 5
DFT (GGA-PBE) results for crystalline MgGaReO6 at its relaxed geometry.

Properties
As for the theoretical density: 6.323 g/cm³. As for the formation energy (no corrections): -1.8373 eV/atom. The value obtained for the volume is 10.978 A^3/atom. The total moment comes out at 0.00 μB per cell.

a b c (Å): 4.686 4.686 9.000
angles (deg): 90.00 90.00 90.00
Element x y z (fractional)
Mg  0.000  0.000  0.000
Mg  0.500  0.500  0.500
Ga  0.000  0.000  0.326
Ga  0.500  0.500  0.826
Re  0.000  0.000  0.665
Re  0.500  0.500  0.165
O  0.186  0.186  0.503
O  0.200  0.200  0.812
O  0.210  0.210  0.169
O  0.290  0.710  0.669
O  0.300  0.700  0.312
O  0.314  0.686  0.003
O  0.686  0.314  0.003
O  0.700  0.300  0.312
O  0.710  0.290  0.669
O  0.790  0.790  0.169
O  0.800  0.800  0.812
O  0.814  0.814  0.503

Record 6
DFT (GGA-PBE) results for crystalline TbTm3Th2Sb6 at its relaxed geometry.

Properties
As for the theoretical density: 8.513 g/cm³. As for the formation energy (no corrections): -1.0305 eV/atom. The value obtained for the volume is 30.239 A^3/atom. The total moment comes out at 0.00 μB per cell.

a b c (Å): 9.841 9.841 8.792
angles (deg): 102.68 102.68 25.94
Element x y z (fractional)
Tb  0.000  0.000  0.000
Tm  0.000  0.000  0.500
Tm  0.333  0.333  0.166
Tm  0.667  0.667  0.834
Th  0.335  0.335  0.669
Th  0.665  0.665  0.331
Sb  0.164  0.164  0.590
Sb  0.167  0.167  0.075
Sb  0.497  0.497  0.252
Sb  0.503  0.503  0.748
Sb  0.833  0.833  0.925
Sb  0.836  0.836  0.410

Record 7
DFT (GGA-PBE) results for crystalline Na2Sb4PdPt3 at its relaxed geometry.

Properties
As for the theoretical density: 8.714 g/cm³. As for the formation energy (no corrections): -0.4392 eV/atom. The value obtained for the volume is 23.339 A^3/atom. The total moment comes out at 0.00 μB per cell.

a b c (Å): 4.713 4.713 10.509
angles (deg): 90.00 90.00 90.00
Element x y z (fractional)
Na  0.000  0.500  0.232
Na  0.500  0.000  0.768
Sb  0.000  0.000  0.500
Sb  0.000  0.500  0.876
Sb  0.500  0.000  0.124
Sb  0.500  0.500  0.500
Pd  0.500  0.500  0.000
Pt  0.000  0.000  0.000
Pt  0.000  0.500  0.625
Pt  0.500  0.000  0.375

Record 8
DFT (GGA-PBE) results for crystalline AlNi at its relaxed geometry.

Properties
As for the theoretical density: 5.665 g/cm³. The formation energy is -0.48 eV/atom. The value obtained for the volume is 12.557 A^3/atom. The total moment comes out at 0.00 μB per cell.

a b c (Å): 2.761 2.761 3.803
angles (deg): 90.00 90.00 120.00
Element x y z (fractional)
Al  0.000  0.000  0.000
Ni  0.667  0.333  0.500

Record 9
DFT (GGA-PBE) results for crystalline Pm2Ga4Ag3 at its relaxed geometry.

Properties
As for the theoretical density: 8.025 g/cm³. The formation energy is -0.38 eV/atom. The value obtained for the volume is 20.521 A^3/atom. The total moment comes out at 0.00 μB per cell.

a b c (Å): 8.491 8.491 7.849
angles (deg): 90.00 90.00 139.25
Element x y z (fractional)
Pm  0.106  0.894  0.907
Pm  0.394  0.606  0.407
Pm  0.606  0.394  0.593
Pm  0.894  0.106  0.093
Ga  0.174  0.826  0.520
Ga  0.188  0.312  0.750
Ga  0.312  0.188  0.250
Ga  0.326  0.674  0.020
Ga  0.674  0.326  0.980
Ga  0.688  0.812  0.750
Ga  0.812  0.688  0.250
Ga  0.826  0.174  0.480
Ag  0.000  0.000  0.500
Ag  0.020  0.480  0.750
Ag  0.480  0.020  0.250
Ag  0.500  0.500  0.000
Ag  0.520  0.980  0.750
Ag  0.980  0.520  0.250

Record 10
DFT (GGA-PBE) results for crystalline ZrIr2Se at its relaxed geometry.

Properties
As for the theoretical density: 12.923 g/cm³. As for the formation energy (no corrections): -0.4634 eV/atom. The value obtained for the volume is 17.817 A^3/atom. The total moment comes out at 0.00 μB per cell.

a b c (Å): 5.674 4.122 6.580
angles (deg): 90.00 112.15 90.00
Element x y z (fractional)
Zr  0.000  0.000  0.000
Zr  0.382  0.500  0.794
Ir  0.041  0.000  0.557
Ir  0.440  0.500  0.292
Ir  0.547  0.000  0.588
Ir  0.849  0.500  0.706
Se  0.032  0.500  0.325
Se  0.541  0.000  0.122

Record 11
DFT (GGA-PBE) results for crystalline Ti5Sn at its relaxed geometry.

Properties
As for the theoretical density: 5.559 g/cm³. The formation energy is -0.18 eV/atom. The value obtained for the volume is 17.826 A^3/atom. The total moment comes out at 0.00 μB per cell.

a b c (Å): 6.859 6.859 4.028
angles (deg): 90.00 90.00 145.64
Element x y z (fractional)
Ti  0.000  0.000  0.000
Ti  0.173  0.827  0.500
Ti  0.329  0.671  0.000
Ti  0.671  0.329  0.000
Ti  0.827  0.173  0.500
Sn  0.500  0.500  0.500

Record 12
DFT (GGA-PBE) results for crystalline Cs2Li2GeI6 at its relaxed geometry.

Properties
As for the theoretical density: 3.675 g/cm³. As for the formation energy (no corrections): -1.0449 eV/atom. The value obtained for the volume is 45.754 A^3/atom. The total moment comes out at 0.00 μB per cell.

a b c (Å): 8.499 8.499 8.985
angles (deg): 113.13 113.13 60.56
Element x y z (fractional)
Cs  0.209  0.209  0.182
Cs  0.791  0.791  0.818
Li  0.429  0.429  0.717
Li  0.571  0.571  0.283
Ge  0.000  0.000  0.500
I  0.202  0.721  0.227
I  0.230  0.230  0.628
I  0.279  0.798  0.773
I  0.721  0.202  0.227
I  0.770  0.770  0.372
I  0.798  0.279  0.773